1.
The following is a DFT calculation (PBE-GGA) of crystalline CdCuTc2 at its relaxed geometry.

Cell and atoms, written as CIF:
```
data_CdCuTc2
_chemical_formula_sum 'Cd2 Cu2 Tc4'
_symmetry_space_group_name_H-M 'I 4/m m m'
_symmetry_Int_Tables_number 139
_symmetry_space_group_name_Hall '-I 4 2'
_cell_length_a 3.696
_cell_length_b 3.696
_cell_length_c 8.974
_cell_angle_alpha 90.00
_cell_angle_beta 90.00
_cell_angle_gamma 90.00
loop_
_atom_site_label
_atom_site_type_symbol
_atom_site_fract_x
_atom_site_fract_y
_atom_site_fract_z
Cd1 Cd 0.000 0.000 0.000
Cu1 Cu 0.000 0.000 0.500
Tc1 Tc 0.000 0.500 0.250
```

As for the energy of formation from the pure elements: 0.434 eV/atom. The calculation puts the total magnetization at 0.00 Bohr magnetons per cell.


2.
The following is a DFT calculation (PBE-GGA) of crystalline Sm6Ge2Te3P at its relaxed geometry.

Cell and atoms, written as CIF:
```
data_Sm6Ge2Te3P
_chemical_formula_sum 'Sm12 Ge4 Te6 P2'
_symmetry_space_group_name_H-M 'C 1 2/m 1'
_symmetry_Int_Tables_number 12
_cell_length_a 19.015
_cell_length_b 4.294
_cell_length_c 8.758
_cell_angle_alpha 90.00
_cell_angle_beta 104.85
_cell_angle_gamma 90.00
loop_
_symmetry_equiv_pos_as_xyz
'x,y,z'
'-x,-y,-z'
'-x,y,-z'
'x,-y,z'
'x+1/2,y+1/2,z'
'-x+1/2,-y+1/2,-z'
'-x+1/2,y+1/2,-z'
'x+1/2,-y+1/2,z'
loop_
_atom_site_label
_atom_site_type_symbol
_atom_site_fract_x
_atom_site_fract_y
_atom_site_fract_z
Sm1 Sm 0.006 0.000 0.230
Sm2 Sm 0.159 0.500 0.097
Sm3 Sm 0.172 0.500 0.568
Ge1 Ge 0.166 0.000 0.331
Te1 Te 0.000 0.500 0.500
Te2 Te 0.167 0.000 0.834
P1 P 0.000 0.500 0.000
```

The calculation puts the total magnetization at 0.00 Bohr magnetons per cell. For the uncorrected formation energy, the calculation gives -1.341 eV per atom.


3.
The following is a DFT calculation (PBE-GGA) of crystalline Zr4Sc3Ti at its relaxed geometry.

Cell and atoms, written as CIF:
```
data_Zr4Sc3Ti
_chemical_formula_sum 'Zr4 Sc3 Ti1'
_symmetry_space_group_name_H-M 'P m m 2'
_symmetry_Int_Tables_number 25
_cell_length_a 3.150
_cell_length_b 4.892
_cell_length_c 11.725
_cell_angle_alpha 90.00
_cell_angle_beta 90.00
_cell_angle_gamma 90.00
loop_
_symmetry_equiv_pos_as_xyz
'x,y,z'
'-x,-y,z'
'-x,y,z'
'x,-y,z'
loop_
_atom_site_label
_atom_site_type_symbol
_atom_site_fract_x
_atom_site_fract_y
_atom_site_fract_z
Zr1 Zr 0.000 0.000 0.000
Zr2 Zr 0.000 0.500 0.342
Zr3 Zr 0.500 0.000 0.480
Zr4 Zr 0.500 0.500 0.848
Sc1 Sc 0.000 0.000 0.736
Sc2 Sc 0.000 0.500 0.601
Sc3 Sc 0.500 0.500 0.110
Ti1 Ti 0.500 0.000 0.234
```

As for the energy of formation from the pure elements: 0.039 eV/atom. The calculation puts the total magnetization at 0.00 Bohr magnetons per cell.


4.
The following is a DFT calculation (PBE-GGA) of crystalline NbTcNi2As at its relaxed geometry.

Cell and atoms, written as CIF:
```
data_NbTcNi2As
_chemical_formula_sum 'Nb1 Tc1 Ni2 As1'
_symmetry_space_group_name_H-M 'P 4/m m m'
_symmetry_Int_Tables_number 123
_symmetry_space_group_name_Hall '-P 4 2'
_cell_length_a 4.413
_cell_length_b 4.413
_cell_length_c 4.615
_cell_angle_alpha 90.00
_cell_angle_beta 90.00
_cell_angle_gamma 90.00
loop_
_atom_site_label
_atom_site_type_symbol
_atom_site_fract_x
_atom_site_fract_y
_atom_site_fract_z
Nb1 Nb 0.000 0.000 0.000
Tc1 Tc 0.500 0.500 0.500
Ni1 Ni 0.000 0.500 0.500
As1 As 0.500 0.500 0.000
```

As for the energy of formation from the pure elements: 1.025 eV/atom. The calculation puts the total magnetization at 0.00 Bohr magnetons per cell.


5.
The following is a DFT calculation (PBE-GGA) of crystalline Th4SnAs2Se at its relaxed geometry.

Cell and atoms, written as CIF:
```
data_Th4SnAs2Se
_chemical_formula_sum 'Th4 Sn1 As2 Se1'
_symmetry_space_group_name_H-M 'P 1 2/m 1'
_symmetry_Int_Tables_number 10
_cell_length_a 7.438
_cell_length_b 4.312
_cell_length_c 7.533
_cell_angle_alpha 90.00
_cell_angle_beta 109.35
_cell_angle_gamma 90.00
loop_
_symmetry_equiv_pos_as_xyz
'x,y,z'
'-x,-y,-z'
'-x,y,-z'
'x,-y,z'
loop_
_atom_site_label
_atom_site_type_symbol
_atom_site_fract_x
_atom_site_fract_y
_atom_site_fract_z
Th1 Th 0.239 0.000 0.233
Th2 Th 0.250 0.500 0.763
Sn1 Sn 0.500 0.500 0.500
As1 As 0.000 0.500 0.000
As2 As 0.500 0.000 0.000
Se1 Se 0.000 0.000 0.500
```

The calculation puts the total magnetization at 0.00 Bohr magnetons per cell. For the uncorrected formation energy, the calculation gives -1.198 eV per atom.


6.
The following is a DFT calculation (PBE-GGA) of crystalline Sr2ThMnTe5 at its relaxed geometry.

Cell and atoms, written as CIF:
```
data_Sr2ThMnTe5
_chemical_formula_sum 'Sr8 Th4 Mn4 Te20'
_symmetry_space_group_name_H-M 'C m c 21'
_symmetry_Int_Tables_number 36
_cell_length_a 4.553
_cell_length_b 19.708
_cell_length_c 13.963
_cell_angle_alpha 90.00
_cell_angle_beta 90.00
_cell_angle_gamma 90.00
loop_
_symmetry_equiv_pos_as_xyz
'x,y,z'
'-x,-y,z+1/2'
'-x,y,z'
'x,-y,z+1/2'
'x+1/2,y+1/2,z'
'-x+1/2,-y+1/2,z+1/2'
'-x+1/2,y+1/2,z'
'x+1/2,-y+1/2,z+1/2'
loop_
_atom_site_label
_atom_site_type_symbol
_atom_site_fract_x
_atom_site_fract_y
_atom_site_fract_z
Sr1 Sr 0.000 0.111 0.000
Sr2 Sr 0.000 0.115 0.647
Th1 Th 0.000 0.201 0.340
Mn1 Mn 0.000 0.438 0.750
Te1 Te 0.000 0.044 0.355
Te2 Te 0.000 0.295 0.994
Te3 Te 0.000 0.306 0.680
Te4 Te 0.000 0.358 0.325
Te5 Te 0.000 0.500 0.082
```

The calculation puts the total magnetization at 20.02 Bohr magnetons per cell. For the uncorrected formation energy, the calculation gives -1.172 eV per atom.


7.
The following is a DFT calculation (PBE-GGA) of crystalline La3Dy2ThTe6 at its relaxed geometry.

Cell and atoms, written as CIF:
```
data_La3Dy2ThTe6
_chemical_formula_sum 'La6 Dy4 Th2 Te12'
_symmetry_space_group_name_H-M 'C 1 2/m 1'
_symmetry_Int_Tables_number 12
_cell_length_a 19.481
_cell_length_b 4.463
_cell_length_c 9.024
_cell_angle_alpha 90.00
_cell_angle_beta 102.29
_cell_angle_gamma 90.00
loop_
_symmetry_equiv_pos_as_xyz
'x,y,z'
'-x,-y,-z'
'-x,y,-z'
'x,-y,z'
'x+1/2,y+1/2,z'
'-x+1/2,-y+1/2,-z'
'-x+1/2,y+1/2,-z'
'x+1/2,-y+1/2,z'
loop_
_atom_site_label
_atom_site_type_symbol
_atom_site_fract_x
_atom_site_fract_y
_atom_site_fract_z
La1 La 0.000 0.000 0.000
La2 La 0.162 0.500 0.334
Dy1 Dy 0.166 0.500 0.832
Th1 Th 0.000 0.000 0.500
Te1 Te 0.006 0.500 0.751
Te2 Te 0.168 0.000 0.597
Te3 Te 0.171 0.000 0.075
```

The calculation puts the total magnetization at 0.00 Bohr magnetons per cell. For the uncorrected formation energy, the calculation gives -1.393 eV per atom.


Asked for raw total energy across the records above, the calculation gives -6.001 -5.706 -7.597 -6.304 -7.007 -5.134 -5.581 eV per atom in order.